First-principles (PBE-GGA) data for a geometry-optimized La4RhBr5 structure, as listed in Alexandria.

Properties
- E_form (uncorrected) (kJ/mol of formula units) = -1493.5
- magnetic moment (Bohr magnetons per cell) = 0.00

a b c (Å): 4.1126 8.9657 9.9603
angles (deg): 105.08 101.91 90.00
Last column: nearest neighbours and their distance in Å.
Sites, in units of the cell vectors:
1 La 0.6568 0.1018 0.3136  1 Rh 2.95, 5 Br 3.05-3.23
2 La 0.9984 0.2160 0.9968  2 Rh 2.83, 1 Br 3.16
3 La 0.3432 0.8982 0.6864  1 Rh 2.95, 5 Br 3.05-3.23
4 La 0.0016 0.7840 0.0032  2 Rh 2.83, 1 Br 3.16
5 Br 0.1654 0.3577 0.3309  3 La 3.05-3.16
6 Br 0.8272 0.1523 0.6545  4 La 3.14-3.23
7 Br 0.8346 0.6423 0.6691  3 La 3.05-3.16
8 Br 0.1728 0.8477 0.3455  4 La 3.14-3.23
9 Br 0.5000 0.5000 0.0000  4 La 3.27
10 Rh 0.5000 0.0000 0.0000  6 La 2.83-2.95

---

First-principles (PBE-GGA) data for a geometry-optimized BrF structure, as listed in Alexandria.

Properties
- E_form (uncorrected) (kJ/mol of formula units) = 47.2
- magnetic moment (Bohr magnetons per cell) = 8.01

a b c (Å): 5.4321 5.4321 5.4321
angles (deg): 90.00 90.00 90.00
Last column: nearest neighbours and their distance in Å.
Sites, in units of the cell vectors:
1 Br 0.0000 0.0000 0.5000  6 F 2.72
2 Br 0.5000 0.0000 0.0000  6 F 2.72
3 Br 0.0000 0.5000 0.0000  6 F 2.72
4 Br 0.5000 0.5000 0.5000  6 F 2.72
5 F 0.0000 0.0000 0.0000  6 Br 2.72
6 F 0.0000 0.5000 0.5000  6 Br 2.72
7 F 0.5000 0.5000 0.0000  6 Br 2.72
8 F 0.5000 0.0000 0.5000  6 Br 2.72

---

First-principles (PBE-GGA) data for a geometry-optimized Rb4Tb3HfS8 structure, as listed in Alexandria.

Properties
- E_form (uncorrected) (kJ/mol of formula units) = -2665.4
- magnetic moment (Bohr magnetons per cell) = 0.00

a b c (Å): 8.0170 8.9795 8.0168
angles (deg): 116.53 120.00 90.00
Last column: nearest neighbours and their distance in Å.
Sites, in units of the cell vectors:
1 Rb 0.5000 0.0000 0.0000  6 S 3.41
2 Rb 0.5000 0.0000 0.5000  6 S 3.28-3.29
3 Rb 0.0000 0.0000 0.0000  6 S 3.28-3.29
4 Rb 0.0000 0.0000 0.5000  6 S 3.28-3.29
5 S 0.7789 0.3103 0.0312  1 Hf 2.63, 2 Tb 2.79
6 S 0.7789 0.3103 0.5578  1 Hf 2.63, 2 Tb 2.79
7 S 0.2522 0.3103 0.0312  1 Hf 2.63, 2 Tb 2.79
8 S 0.7478 0.6897 0.9688  1 Hf 2.63, 2 Tb 2.79
9 S 0.2678 0.3036 0.5356  3 Tb 2.76
10 S 0.2211 0.6897 0.9688  1 Hf 2.63, 2 Tb 2.79
11 S 0.7322 0.6964 0.4644  3 Tb 2.76
12 S 0.2211 0.6897 0.4422  1 Hf 2.63, 2 Tb 2.79
13 Tb 0.5000 0.5000 0.5000  6 S 2.76-2.79
14 Tb 0.0000 0.5000 0.5000  6 S 2.76-2.79
15 Tb 0.5000 0.5000 0.0000  6 S 2.76-2.79
16 Hf 0.0000 0.5000 0.0000  6 S 2.63

---

First-principles (PBE-GGA) data for a geometry-optimized SrAc2Ge4Pd3 structure, as listed in Alexandria.

Properties
- magnetic moment (Bohr magnetons per cell) = 0.00
- ΔH_f (0 K) (meV per atom) = -682

a b c (Å): 4.4792 4.4792 11.7550
angles (deg): 90.00 90.00 90.00
Last column: nearest neighbours and their distance in Å.
Sites, in units of the cell vectors:
1 Pd 0.0000 0.0000 0.5000  4 Ge 3.05, 4 Sr 3.17
2 Pd 0.5000 0.0000 0.8903  5 Ge 2.52-2.58
3 Pd 0.0000 0.5000 0.1097  5 Ge 2.52-2.58
4 Ge 0.0000 0.0000 0.0000  4 Pd 2.58
5 Ge 0.0000 0.5000 0.3239  1 Pd 2.52
6 Ge 0.5000 0.0000 0.6762  1 Pd 2.52
7 Ge 0.5000 0.5000 0.0000  4 Pd 2.58
8 Ac 0.5000 0.0000 0.2225  8 Ge 3.38-3.44, 4 Pd 3.43
9 Ac 0.0000 0.5000 0.7775  8 Ge 3.38-3.44, 4 Pd 3.43
10 Sr 0.5000 0.5000 0.5000  4 Ge 3.05, 4 Pd 3.17

---

First-principles (PBE-GGA) data for a geometry-optimized Sr3Al8Pt3 structure, as listed in Alexandria.

Properties
- magnetic moment (Bohr magnetons per cell) = 0.00
- ΔH_f (0 K) (meV per atom) = -651

a b c (Å): 4.5479 8.4299 8.5396
angles (deg): 65.27 74.56 74.35
Last column: nearest neighbours and their distance in Å.
Sites, in units of the cell vectors:
1 Pt 0.6562 0.6860 0.0016  5 Al 2.58-2.69
2 Pt 0.0000 0.5000 0.5000  8 Al 2.58-2.78
3 Pt 0.3438 0.3140 0.9984  5 Al 2.58-2.69
4 Al 0.1297 0.1613 0.5793  1 Pt 2.58, 2 Al 2.74
5 Al 0.8524 0.4402 0.8550  4 Pt 2.59-2.78
6 Al 0.1476 0.5598 0.1450  4 Pt 2.59-2.78
7 Al 0.5082 0.6594 0.3243  3 Pt 2.58-2.75, 1 Al 2.85
8 Al 0.6527 0.9752 0.7194  1 Pt 2.61, 3 Al 2.74-2.85
9 Al 0.8703 0.8387 0.4207  1 Pt 2.58, 2 Al 2.74
10 Al 0.3473 0.0248 0.2806  1 Pt 2.61, 3 Al 2.74-2.85
11 Al 0.4918 0.3406 0.6757  3 Pt 2.58-2.75, 1 Al 2.85
12 Sr 0.2868 0.7262 0.7002  11 Al 3.09-3.40, 3 Pt 3.29-3.33
13 Sr 0.7132 0.2738 0.2998  11 Al 3.09-3.40, 3 Pt 3.29-3.33
14 Sr 0.0000 0.0000 0.0000  8 Al 3.21-3.32, 4 Pt 3.41

---

First-principles (PBE-GGA) data for a geometry-optimized CsTc2H8 structure, as listed in Alexandria.

Properties
- magnetic moment (Bohr magnetons per cell) = 0.99
- energy (eV per atom) = -4.349

a b c (Å): 6.5255 4.8139 4.8139
angles (deg): 120.02 89.96 89.96
Last column: nearest neighbours and their distance in Å.
Sites, in units of the cell vectors:
1 H 0.4174 0.6529 0.9973  2 Tc 1.83
2 H 0.6562 0.9969 0.2960  2 Tc 1.80, 2 H 1.96
3 H 0.4167 0.3433 0.3433  2 Tc 1.83
4 H 0.4174 0.9973 0.6529  2 Tc 1.83
5 H 0.8093 0.3292 0.6632  1 Tc 1.62
6 H 0.6569 0.6966 0.6966  2 Tc 1.80, 2 H 1.96
7 H 0.8093 0.6632 0.3292  1 Tc 1.62
8 H 0.6562 0.2960 0.9969  2 Tc 1.80, 2 H 1.96
9 Tc 0.5603 0.3303 0.6639  4 H 1.62-1.80
10 Tc 0.5603 0.6639 0.3303  4 H 1.62-1.80
11 Cs 0.0406 0.9965 0.9965  12 H 2.89-3.17

---

First-principles (PBE-GGA) data for a geometry-optimized Pr4TlSn structure, as listed in Alexandria.

Properties
- magnetic moment (Bohr magnetons per cell) = 0.00
- ΔH_f (0 K) (meV per atom) = -250

a b c (Å): 5.3713 7.6111 5.3641
angles (deg): 90.00 90.00 90.00
Last column: nearest neighbours and their distance in Å.
Sites, in units of the cell vectors:
1 Pr 0.5000 0.7516 0.0000  2 Tl 3.28, 2 Sn 3.30
2 Pr 0.0000 0.7511 0.5000  2 Tl 3.28, 2 Sn 3.30
3 Pr 0.5000 0.2484 0.0000  2 Tl 3.28, 2 Sn 3.30
4 Pr 0.0000 0.2489 0.5000  2 Tl 3.28, 2 Sn 3.30
5 Tl 0.0000 0.0000 0.0000  8 Pr 3.28
6 Sn 0.5000 0.5000 0.5000  8 Pr 3.30

---

First-principles (PBE-GGA) data for a geometry-optimized CoP2Rh structure, as listed in Alexandria.

Properties
- magnetic moment (Bohr magnetons per cell) = 0.00
- ΔH_f (0 K) (meV per atom) = -417
- energy above the lowest structure with this stoichiometry (meV/atom) = 0.0

a b c (Å): 3.2242 3.2242 4.8293
angles (deg): 90.00 90.00 90.00
Last column: nearest neighbours and their distance in Å.
Sites, in units of the cell vectors:
1 P 0.0000 0.0000 0.9396  4 Co 2.35, 2 Rh 2.36-2.47
2 P 0.5000 0.5000 0.2913  2 Co 2.29-2.54, 4 Rh 2.41
3 Rh 0.0000 0.0000 0.4517  6 P 2.36-2.47
4 Co 0.5000 0.5000 0.8174  6 P 2.29-2.54

---

First-principles (PBE-GGA) data for a geometry-optimized LiZr structure, as listed in Alexandria.

Properties
- magnetic moment (Bohr magnetons per cell) = 0.00
- ΔH_f (0 K) (meV per atom) = 342
- energy above the lowest structure with this stoichiometry (meV/atom) = 258.1

a b c (Å): 2.9027 2.9027 4.8330
angles (deg): 90.00 90.00 90.00
Last column: nearest neighbours and their distance in Å.
Sites, in units of the cell vectors:
1 Zr 0.5000 0.5000 0.5000  4 Zr 2.90, 8 Li 3.17
2 Li 0.0000 0.0000 0.0000  4 Li 2.90, 8 Zr 3.17

---

First-principles (PBE-GGA) data for a geometry-optimized ErZr2Tc structure, as listed in Alexandria.

Properties
- magnetic moment (Bohr magnetons per cell) = 0.12
- ΔH_f (0 K) (meV per atom) = -106
- energy above the lowest structure with this stoichiometry (meV/atom) = 0.0

a b c (Å): 3.3462 3.3462 7.9558
angles (deg): 90.00 90.00 90.00
Last column: nearest neighbours and their distance in Å.
Sites, in units of the cell vectors:
1 Zr 0.0000 0.0000 0.8037  4 Tc 2.84, 1 Zr 3.12
2 Zr 0.0000 0.0000 0.1963  4 Tc 2.84, 1 Zr 3.12
3 Tc 0.5000 0.5000 0.0000  8 Zr 2.84
4 Er 0.5000 0.5000 0.5000  4 Er 3.35, 8 Zr 3.38

---

First-principles (PBE-GGA) data for a geometry-optimized SmTmLuTh structure, as listed in Alexandria.

Properties
- magnetic moment (Bohr magnetons per cell) = 0.00
- ΔH_f (0 K) (meV per atom) = 110

a b c (Å): 5.6367 5.6367 5.6367
angles (deg): 60.00 60.00 60.00
Last column: nearest neighbours and their distance in Å.
Sites, in units of the cell vectors:
1 Tm 0.0000 0.0000 0.0000  4 Sm 3.45, 4 Th 3.45
2 Th 0.7500 0.7500 0.7500  4 Lu 3.45, 4 Tm 3.45
3 Sm 0.2500 0.2500 0.2500  4 Tm 3.45, 4 Lu 3.45
4 Lu 0.5000 0.5000 0.5000  4 Th 3.45, 4 Sm 3.45

---

First-principles (PBE-GGA) data for a geometry-optimized BaCdSe2 structure, as listed in Alexandria.

Properties
- E_form (uncorrected) (kJ/mol of formula units) = -206.5
- magnetic moment (Bohr magnetons per cell) = 0.00

a b c (Å): 5.4311 5.4311 5.4311
angles (deg): 60.00 60.00 60.00
Last column: nearest neighbours and their distance in Å.
Sites, in units of the cell vectors:
1 Ba 0.5000 0.5000 0.5000  4 Se 3.33, 4 Cd 3.33
2 Se 0.2500 0.2500 0.2500  4 Ba 3.33, 4 Se 3.33
3 Se 0.0000 0.0000 0.0000  4 Cd 3.33, 4 Se 3.33
4 Cd 0.7500 0.7500 0.7500  4 Se 3.33, 4 Ba 3.33